# 1
Here is a geometry-optimized PrLuPt2 structure from Alexandria. Energies are from PBE.

For the calculated formation energy, the calculation gives -442.6 kJ/mol of formula units. The density is 13.37 g/cm³. The total DFT energy (no corrections) comes out at -6.492 eV per atom. The space group is P4/mmm, No. 123.

Cell: 3.490 3.490 7.199 Å, 90.00 90.00 90.00°
Fractional positions:
Pr (0.500, 0.500, 0.500)
Lu (0.500, 0.500, 0.000)
Pt (0.000, 0.000, 0.778)
Pt (0.000, 0.000, 0.222)


# 2
Here is a geometry-optimized K2SbBr2Cl4 structure from Alexandria. Energies are from PBE.

The value obtained for the formation energy from raw total energies is -1.223 eV/atom. The density is 2.90 g/cm³. The total DFT energy (no corrections) comes out at -3.118 eV per atom. The space group is I4/mmm, No. 139.

Cell: 7.412 7.412 7.412 Å, 89.92 120.05 120.05°
Fractional positions:
K (0.500, 0.750, 0.250)
K (0.500, 0.250, 0.750)
Sb (0.000, 0.000, 0.000)
Br (0.000, 0.743, 0.743)
Br (0.000, 0.257, 0.257)
Cl (0.000, 0.757, 0.243)
Cl (0.515, 0.757, 0.757)
Cl (0.000, 0.243, 0.757)
Cl (0.485, 0.243, 0.243)


# 3
Here is a geometry-optimized NaErI4 structure from Alexandria. Energies are from PBE.

The value obtained for the formation energy from raw total energies is -1.336 eV/atom. The density is 4.30 g/cm³. The total DFT energy (no corrections) comes out at -3.349 eV per atom. The space group is P2/m, No. 10.

Cell: 4.414 7.630 8.003 Å, 89.82 90.00 90.00°
Fractional positions:
Na (0.500, 0.000, 0.500)
Er (0.000, 0.000, 0.000)
I (0.000, 0.777, 0.695)
I (0.500, 0.232, 0.852)
I (0.500, 0.768, 0.148)
I (0.000, 0.223, 0.305)